An optimized crystal structure of Dy4GaTc, computed with PBE-GGA.

abc: 7.903 7.903 6.226
angles: 105.68 105.68 111.47
Atoms (fractional coordinates):
Dy  0.057  0.708  0.919
Dy  0.220  0.358  0.691
Dy  0.292  0.943  0.581
Dy  0.358  0.220  0.191
Dy  0.642  0.780  0.809
Dy  0.708  0.057  0.419
Dy  0.780  0.642  0.309
Dy  0.943  0.292  0.081
Ga  0.370  0.630  0.250
Ga  0.630  0.370  0.750
Tc  0.001  0.999  0.250
Tc  0.999  0.001  0.750

Calculated values
**SG**: No. 15
**E_form**: -25.1 kJ/mol of atoms
**Raw total energy**: -5.561 eV/atom

An optimized crystal structure of ScAgI4, computed with PBE-GGA.

abc: 7.388 4.213 7.686
angles: 90.00 92.38 90.00
Atoms (fractional coordinates):
Sc  0.000  0.000  0.000
Ag  0.000  0.500  0.500
I  0.211  0.000  0.692
I  0.238  0.500  0.146
I  0.762  0.500  0.854
I  0.789  0.000  0.308

Calculated values
**SG**: No. 10
**Raw total energy**: -3.435 eV/atom
**ΔE_f (raw)**: -0.87 eV/atom

An optimized crystal structure of Fe3Ir2, computed with PBE-GGA.

abc: 4.156 4.156 5.101
angles: 90.00 90.00 120.00
Atoms (fractional coordinates):
Fe  0.000  0.000  0.000
Fe  0.333  0.667  0.364
Fe  0.667  0.333  0.636
Ir  0.333  0.667  0.845
Ir  0.667  0.333  0.155

Calculated values
**SG**: No. 164
**E_form**: 30.1 kJ/mol of atoms
**Raw total energy**: -8.311 eV/atom
**Offset from the most stable computed form**: 1.592 eV per formula unit

An optimized crystal structure of Mg2GaSbO6, computed with PBE-GGA.

abc: 5.505 5.505 5.505
angles: 56.30 56.30 56.30
Atoms (fractional coordinates):
Mg  0.000  0.000  0.000
Mg  0.497  0.497  0.497
Ga  0.212  0.212  0.212
Sb  0.705  0.705  0.705
O  0.087  0.418  0.816
O  0.316  0.916  0.590
O  0.418  0.816  0.087
O  0.590  0.316  0.916
O  0.816  0.087  0.418
O  0.916  0.590  0.316

Calculated values
**SG**: No. 146
**Raw total energy**: -6.076 eV/atom
**ΔE_f (raw)**: -2.07 eV/atom

An optimized crystal structure of LiZr2BiN, computed with PBE-GGA.

abc: 4.513 4.513 4.391
angles: 90.00 90.00 90.00
Atoms (fractional coordinates):
Li  0.000  0.000  0.000
Zr  0.000  0.500  0.500
Zr  0.500  0.000  0.500
Bi  0.500  0.500  0.000
N  0.000  0.000  0.500

Calculated values
**SG**: No. 123
**Raw total energy**: -6.949 eV/atom
**ΔE_f (raw)**: -0.71 eV/atom

An optimized crystal structure of CeNd3Ga4, computed with PBE-GGA.

abc: 3.716 7.007 16.860
angles: 90.00 90.00 90.00
Atoms (fractional coordinates):
Ce  0.000  0.000  0.000
Ce  0.500  0.500  0.500
Nd  0.000  0.000  0.500
Nd  0.000  0.500  0.301
Nd  0.000  0.500  0.699
Nd  0.500  0.000  0.199
Nd  0.500  0.000  0.801
Nd  0.500  0.500  0.000
Ga  0.000  0.313  0.130
Ga  0.000  0.313  0.870
Ga  0.000  0.687  0.130
Ga  0.000  0.687  0.870
Ga  0.500  0.187  0.370
Ga  0.500  0.187  0.630
Ga  0.500  0.813  0.370
Ga  0.500  0.813  0.630

Calculated values
**SG**: No. 71
**E_form**: -37.0 kJ/mol of atoms
**Raw total energy**: -4.426 eV/atom
**Offset from the most stable computed form**: 1.153 eV per formula unit